Density functional theory data (PBE) for crystalline Ca4Au at its relaxed geometry.

Lattice parameters (Å, degrees): 8.058 7.815 8.139 75.21 60.33 58.96
Fractional positions:
Ca 0.519 0.252 0.160
Ca 0.017 0.261 0.170
Ca 0.929 0.752 0.340
Ca 0.528 0.239 0.670
Ca 0.448 0.739 0.830
Ca 0.931 0.748 0.840
Ca 0.437 0.761 0.330
Ca 0.021 0.248 0.660
Au 0.987 0.000 0.000
Au 0.237 0.500 0.500

Calculated values
Volume   381.6 Å³/cell
Space group   Fdd2, No. 43
Spin magnetization   0.000 μB per formula unit
Uncorrected energy   -2.585 eV/atom
ΔE_f   -0.33 eV/atom